Computed, not measured: a geometry-optimized Mg3NbAs structure at the PBE level of DFT.

Values from the calculation:
Energy relative to the lowest polymorph listed for this composition (meV/atom): 633
Space-group type: Pm-3m
Formation energy (eV per atom): 1.287

```
5
Lattice="5.330 0.000 0.000 0.000 5.330 0.000 0.000 0.000 5.330" Properties=species:S:1:pos:R:3 pbc="T T T"
Mg 0.000 0.000 2.665
Mg 0.000 2.665 0.000
Mg 2.665 0.000 0.000
Nb 0.000 0.000 0.000
As 2.665 2.665 2.665
```

=====

Computed, not measured: a geometry-optimized MgNb2As structure at the PBE level of DFT.

Values from the calculation:
Energy relative to the lowest polymorph listed for this composition (meV/atom): 0
Space-group type: I-42d
Formation energy (eV per atom): 0.218

```
8
Lattice="-1.953 1.953 10.013 1.953 -1.953 10.013 1.953 1.953 -10.013" Properties=species:S:1:pos:R:3 pbc="T T T"
Mg 0.000 0.000 0.000
Mg 0.000 1.953 5.006
Nb 0.977 -0.943 7.510
Nb 1.011 0.977 2.503
Nb 0.977 2.896 -2.503
Nb 0.943 0.977 12.516
As 1.953 0.000 5.006
As 0.000 0.000 10.013
```

=====

Computed, not measured: a geometry-optimized MgNbAs structure at the PBE level of DFT.

Values from the calculation:
Energy relative to the lowest polymorph listed for this composition (meV/atom): 229
Space-group type: I4mm
Formation energy (eV per atom): -0.223

```
3
Lattice="-1.674 1.674 4.971 1.674 -1.674 4.971 1.674 1.674 -4.971" Properties=species:S:1:pos:R:3 pbc="T T T"
Mg 0.000 0.000 0.000
Nb 0.000 0.000 6.904
As 0.000 0.000 3.146
```

=====

Computed, not measured: a geometry-optimized Mg2NbAs2 structure at the PBE level of DFT.

Values from the calculation:
Space-group type: P4/mbm
Formation energy (eV per atom): -0.378

```
10
Lattice="6.920 0.000 0.000 0.000 6.920 0.000 0.000 0.000 3.906" Properties=species:S:1:pos:R:3 pbc="T T T"
Mg 1.125 2.335 0.000
Mg 2.335 5.795 0.000
Mg 4.584 1.125 0.000
Mg 5.795 4.584 0.000
Nb 0.000 0.000 1.953
Nb 3.460 3.460 1.953
As 1.027 4.487 1.953
As 2.432 1.027 1.953
As 4.487 5.892 1.953
As 5.892 2.432 1.953
```

=====

Computed, not measured: a geometry-optimized MgNbAs structure at the PBE level of DFT.

Values from the calculation:
Energy relative to the lowest polymorph listed for this composition (meV/atom): 77
Space-group type: Pm
Formation energy (eV per atom): -0.375

```
6
Lattice="3.458 0.000 0.000 0.000 3.468 0.000 -0.685 0.000 9.712" Properties=species:S:1:pos:R:3 pbc="T T T"
Mg 0.000 0.000 0.000
Mg 1.078 1.734 7.644
Nb 1.384 1.734 4.659
Nb 3.208 0.000 2.982
As -0.356 0.000 5.814
As 1.487 1.734 1.823
```

=====

Computed, not measured: a geometry-optimized MgNbAs3 structure at the PBE level of DFT.

Values from the calculation:
Energy relative to the lowest polymorph listed for this composition (meV/atom): 838
Space-group type: Pm-3m
Formation energy (eV per atom): 1.016

```
5
Lattice="4.814 0.000 0.000 0.000 4.814 0.000 0.000 0.000 4.814" Properties=species:S:1:pos:R:3 pbc="T T T"
Mg 0.000 0.000 0.000
Nb 2.407 2.407 2.407
As 0.000 0.000 2.407
As 0.000 2.407 0.000
As 2.407 0.000 0.000
```

=====

Computed, not measured: a geometry-optimized MgNbAs structure at the PBE level of DFT.

Values from the calculation:
Energy relative to the lowest polymorph listed for this composition (meV/atom): 0
Space-group type: P4/nmm
Formation energy (eV per atom): -0.452

```
6
Lattice="4.103 0.000 0.000 0.000 4.103 0.000 0.000 0.000 6.824" Properties=species:S:1:pos:R:3 pbc="T T T"
Mg 1.026 1.026 1.112
Mg 3.078 3.078 5.713
Nb 1.026 3.078 3.412
Nb 3.078 1.026 3.412
As 1.026 1.026 5.248
As 3.078 3.078 1.576
```

=====

Computed, not measured: a geometry-optimized MgNb2As structure at the PBE level of DFT.

Values from the calculation:
Energy relative to the lowest polymorph listed for this composition (meV/atom): 7
Space-group type: Fm-3m
Formation energy (eV per atom): 0.225

```
4
Lattice="0.000 3.269 3.269 3.269 0.000 3.269 3.269 3.269 0.000" Properties=species:S:1:pos:R:3 pbc="T T T"
Mg 0.000 0.000 0.000
Nb 1.634 1.634 1.634
Nb 4.903 4.903 4.903
As 3.269 3.269 3.269
```

=====

Computed, not measured: a geometry-optimized MgNb2As2 structure at the PBE level of DFT.

Values from the calculation:
Energy relative to the lowest polymorph listed for this composition (meV/atom): 131
Space-group type: P4/mbm
Formation energy (eV per atom): -0.280

```
10
Lattice="7.385 0.000 0.000 0.000 7.385 0.000 0.000 0.000 3.343" Properties=species:S:1:pos:R:3 pbc="T T T"
Mg 0.000 0.000 0.000
Mg 3.692 3.692 0.000
Nb 1.038 2.655 0.000
Nb 2.655 6.347 0.000
Nb 4.730 1.038 0.000
Nb 6.347 4.730 0.000
As 1.118 4.810 1.672
As 2.574 1.118 1.672
As 4.810 6.267 1.672
As 6.267 2.574 1.672
```

=====

Computed, not measured: a geometry-optimized Mg2NbAs structure at the PBE level of DFT.

Values from the calculation:
Space-group type: I-42d
Formation energy (eV per atom): 0.176

```
8
Lattice="-3.941 3.941 2.621 3.941 -3.941 2.621 3.941 3.941 -2.621" Properties=species:S:1:pos:R:3 pbc="T T T"
Mg 1.971 1.608 -0.655
Mg 2.333 -1.971 3.276
Mg 1.971 2.333 1.966
Mg 1.608 5.912 0.655
Nb 3.941 0.000 1.310
Nb 0.000 0.000 2.621
As 0.000 0.000 0.000
As 0.000 3.941 1.310
```

=====

Computed, not measured: a geometry-optimized Mg3NbAs structure at the PBE level of DFT.

Values from the calculation:
Energy relative to the lowest polymorph listed for this composition (meV/atom): 0
Space-group type: Pm-3m
Formation energy (eV per atom): 0.654

```
5
Lattice="4.991 0.000 0.000 0.000 4.991 0.000 0.000 0.000 4.991" Properties=species:S:1:pos:R:3 pbc="T T T"
Mg 0.000 0.000 2.496
Mg 0.000 2.496 0.000
Mg 2.496 0.000 0.000
Nb 2.496 2.496 2.496
As 0.000 0.000 0.000
```

=====

Computed, not measured: a geometry-optimized MgNbAs structure at the PBE level of DFT.

Values from the calculation:
Energy relative to the lowest polymorph listed for this composition (meV/atom): 226
Space-group type: Cm
Formation energy (eV per atom): -0.226

```
6
Lattice="2.922 -1.686 0.000 2.922 1.686 0.000 -1.911 0.000 12.251" Properties=species:S:1:pos:R:3 pbc="T T T"
Mg 0.000 0.000 0.000
Mg 3.918 0.000 2.591
Nb 1.971 0.000 4.979
Nb 1.973 0.000 8.490
As 0.025 0.000 10.239
As 3.918 0.000 6.657
```

=====

Computed, not measured: a geometry-optimized MgNbAs3 structure at the PBE level of DFT.

Values from the calculation:
Energy relative to the lowest polymorph listed for this composition (meV/atom): 0
Space-group type: Pm-3m
Formation energy (eV per atom): 0.178

```
5
Lattice="5.023 0.000 0.000 0.000 5.023 0.000 0.000 0.000 5.023" Properties=species:S:1:pos:R:3 pbc="T T T"
Mg 0.000 0.000 0.000
Nb 2.511 2.511 2.511
As 0.000 2.511 2.511
As 2.511 0.000 2.511
As 2.511 2.511 0.000
```

=====

Computed, not measured: a geometry-optimized MgNbAs structure at the PBE level of DFT.

Values from the calculation:
Energy relative to the lowest polymorph listed for this composition (meV/atom): 224
Space-group type: R-3m
Formation energy (eV per atom): -0.229

```
6
Lattice="2.199 1.270 7.214 -2.199 1.270 7.214 0.000 -2.539 7.214" Properties=species:S:1:pos:R:3 pbc="T T T"
Mg 0.000 0.000 2.887
Mg 0.000 0.000 18.755
Nb 0.000 0.000 6.172
Nb 0.000 0.000 15.469
As 0.000 0.000 8.774
As 0.000 0.000 12.867
```

=====

Computed, not measured: a geometry-optimized MgNbAs structure at the PBE level of DFT.

Values from the calculation:
Energy relative to the lowest polymorph listed for this composition (meV/atom): 95
Space-group type: Amm2
Formation energy (eV per atom): -0.358

```
6
Lattice="3.529 0.000 0.000 0.000 1.722 9.095 0.000 -1.722 9.095" Properties=species:S:1:pos:R:3 pbc="T T T"
Mg 0.000 0.000 0.000
Mg 1.764 0.000 7.465
Nb 1.764 0.000 4.621
Nb 1.764 0.000 10.817
As 0.000 0.000 2.708
As 0.000 0.000 14.943
```

=====

Computed, not measured: a geometry-optimized MgNb2As2 structure at the PBE level of DFT.

Values from the calculation:
Energy relative to the lowest polymorph listed for this composition (meV/atom): 0
Space-group type: P4/mbm
Formation energy (eV per atom): -0.412

```
10
Lattice="7.223 0.000 0.000 0.000 7.223 0.000 0.000 0.000 3.360" Properties=species:S:1:pos:R:3 pbc="T T T"
Mg 0.000 0.000 0.000
Mg 3.611 3.611 0.000
Nb 1.072 2.539 1.680
Nb 2.539 6.150 1.680
Nb 4.684 1.072 1.680
Nb 6.150 4.684 1.680
As 1.054 4.665 0.000
As 2.558 1.054 0.000
As 4.665 6.169 0.000
As 6.169 2.558 0.000
```

=====

Computed, not measured: a geometry-optimized Mg2NbAs2 structure at the PBE level of DFT.

Values from the calculation:
Space-group type: I4/mmm
Formation energy (eV per atom): 0.057

```
5
Lattice="-1.870 1.870 6.635 1.870 -1.870 6.635 1.870 1.870 -6.635" Properties=species:S:1:pos:R:3 pbc="T T T"
Mg 1.870 0.000 3.317
Mg 0.000 1.870 3.317
Nb 0.000 0.000 0.000
As 0.000 0.000 5.276
As 0.000 0.000 7.993
```

=====

Computed, not measured: a geometry-optimized MgNbAs2Se structure at the PBE level of DFT.

Values from the calculation:
Energy relative to the lowest polymorph listed for this composition (meV/atom): 0
Space-group type: P4/mmm
Formation energy without anion corrections (eV per atom): 0.055

```
5
Lattice="5.062 0.000 0.000 0.000 5.062 0.000 0.000 0.000 4.995" Properties=species:S:1:pos:R:3 pbc="T T T"
Mg 0.000 0.000 0.000
Nb 2.531 2.531 2.498
As 0.000 2.531 2.498
As 2.531 0.000 2.498
Se 2.531 2.531 0.000
```

=====

Computed, not measured: a geometry-optimized MgNbAs2Se structure at the PBE level of DFT.

Values from the calculation:
Energy relative to the lowest polymorph listed for this composition (meV/atom): 823
Space-group type: P4/mmm
Formation energy without anion corrections (eV per atom): 0.879

```
5
Lattice="4.801 0.000 0.000 0.000 4.801 0.000 0.000 0.000 4.924" Properties=species:S:1:pos:R:3 pbc="T T T"
Mg 0.000 0.000 0.000
Nb 2.400 2.400 2.462
As 0.000 2.400 0.000
As 2.400 0.000 0.000
Se 0.000 0.000 2.462
```

=====

Computed, not measured: a geometry-optimized NdMg3As3 structure at the PBE level of DFT.

Values from the calculation:
Space-group type: R-3
Formation energy (eV per atom): -0.845

```
14
Lattice="3.826 2.209 7.043 -3.826 2.209 7.043 0.000 -4.418 7.043" Properties=species:S:1:pos:R:3 pbc="T T T"
Nd 0.000 0.000 3.523
Nd 0.000 0.000 17.607
Mg -2.399 0.048 8.030
Mg -1.241 -2.053 13.100
Mg 1.158 -2.102 8.030
Mg -1.158 2.102 13.100
Mg 1.241 2.053 8.030
Mg 2.399 -0.048 13.100
As -1.365 -2.304 8.802
As -2.678 0.030 12.328
As -1.313 2.334 8.802
As 1.313 -2.334 12.328
As 2.678 -0.030 8.802
As 1.365 2.304 12.328
```

=====

Computed, not measured: a geometry-optimized Nd3MgAs4 structure at the PBE level of DFT.

Values from the calculation:
Space-group type: Pm-3m
Formation energy (eV per atom): -1.130

```
8
Lattice="5.981 0.000 0.000 0.000 5.981 0.000 0.000 0.000 5.981" Properties=species:S:1:pos:R:3 pbc="T T T"
Nd 0.000 0.000 2.991
Nd 0.000 2.991 0.000
Nd 2.991 0.000 0.000
Mg 2.991 2.991 2.991
As 0.000 0.000 0.000
As 0.000 2.991 2.991
As 2.991 0.000 2.991
As 2.991 2.991 0.000
```

=====

Computed, not measured: a geometry-optimized NdMgAs structure at the PBE level of DFT.

Values from the calculation:
Space-group type: R-3m
Formation energy (eV per atom): -0.636

```
6
Lattice="2.530 1.461 8.256 -2.530 1.461 8.256 0.000 -2.921 8.256" Properties=species:S:1:pos:R:3 pbc="T T T"
Nd 0.000 0.000 2.512
Nd 0.000 0.000 22.255
Mg 0.000 0.000 8.052
Mg 0.000 0.000 16.715
As 0.000 0.000 5.426
As 0.000 0.000 19.342
```

=====

Computed, not measured: a geometry-optimized Nd2MgNi3As4 structure at the PBE level of DFT.

Values from the calculation:
Space-group type: P-4m2
Formation energy (eV per atom): -0.790

```
10
Lattice="4.239 0.000 0.000 0.000 4.239 0.000 0.000 0.000 10.037" Properties=species:S:1:pos:R:3 pbc="T T T"
Nd 0.000 2.120 2.353
Nd 2.120 0.000 7.684
Mg 0.000 0.000 5.019
Ni 0.000 2.120 8.921
Ni 2.120 0.000 1.116
Ni 2.120 2.120 5.019
As 0.000 0.000 0.000
As 0.000 2.120 6.519
As 2.120 0.000 3.519
As 2.120 2.120 0.000
```

=====

Computed, not measured: a geometry-optimized Nd2MgAs3Pt4 structure at the PBE level of DFT.

Values from the calculation:
Space-group type: P-4m2
Formation energy (eV per atom): -0.902

```
10
Lattice="4.272 0.000 0.000 0.000 4.272 0.000 0.000 0.000 10.849" Properties=species:S:1:pos:R:3 pbc="T T T"
Nd 0.000 2.136 2.477
Nd 2.136 0.000 8.372
Mg 0.000 0.000 5.424
As 0.000 2.136 9.375
As 2.136 0.000 1.474
As 2.136 2.136 5.424
Pt 0.000 0.000 0.000
Pt 0.000 2.136 6.932
Pt 2.136 0.000 3.916
Pt 2.136 2.136 0.000
```

=====

Number 1: raw total energy -2.6141 eV per atom. Number 2: raw total energy -6.3776 eV per atom. Number 3: raw total energy -5.6615 eV per atom. Number 4: raw total energy -4.8900 eV per atom. Number 5: raw total energy -5.8130 eV per atom. Number 6: raw total energy -4.1064 eV per atom. Number 7: raw total energy -5.8902 eV per atom. Number 8: raw total energy -6.3705 eV per atom. Number 9: raw total energy -6.4867 eV per atom. Number 10: raw total energy -4.3012 eV per atom. Number 11: raw total energy -3.2470 eV per atom. Number 12: raw total energy -5.6640 eV per atom. Number 13: raw total energy -4.9443 eV per atom. Number 14: raw total energy -5.6665 eV per atom. Number 15: raw total energy -5.7956 eV per atom. Number 16: raw total energy -6.6182 eV per atom. Number 17: raw total energy -4.4547 eV per atom. Number 18: raw total energy -4.8344 eV per atom. Number 19: raw total energy -4.0110 eV per atom. Number 20: raw total energy -4.2023 eV per atom. Number 21: raw total energy -5.4421 eV per atom. Number 22: raw total energy -4.3070 eV per atom. Number 23: raw total energy -5.4973 eV per atom. Number 24: raw total energy -5.8262 eV per atom.